# GGA-PBE Tb6ErCd2, optimized geometry
# DFT total energy = -3.854 eV/atom
# DOS(E_F) = 10.3 states/eV/f.u.
# Energy above the most stable polymorph in this dataset = 0.0728 eV/atom
# Space group = C2/c, No. 15
# Calculated formation energy = -0.06 eV per atom
data_Tb6ErCd2
_chemical_formula_sum 'Tb12 Er2 Cd4'
_cell_length_a 6.1187
_cell_length_b 9.5414
_cell_length_c 9.5414
_cell_angle_alpha 73.30
_cell_angle_beta 85.90
_cell_angle_gamma 85.90
_space_group_name_H-M_alt 'P 1'
_space_group_IT_number 1
loop_
_space_group_symop_operation_xyz
'x,y,z'
loop_
_atom_site_label
_atom_site_fract_x
_atom_site_fract_y
_atom_site_fract_z
Cd1 0.0916 0.2139 0.4580
Cd2 0.9084 0.7861 0.5420
Cd3 0.4084 0.5420 0.7861
Cd4 0.5916 0.4580 0.2139
Tb1 0.5073 0.3164 0.5734
Tb2 0.9927 0.4266 0.6836
Tb3 0.3149 0.7304 0.0314
Tb4 0.8385 0.6480 0.9041
Tb5 0.0073 0.5734 0.3164
Tb6 0.6615 0.0959 0.3520
Tb7 0.1615 0.3520 0.0959
Tb8 0.8149 0.0314 0.7304
Tb9 0.4927 0.6836 0.4266
Tb10 0.6851 0.2696 0.9686
Tb11 0.3385 0.9041 0.6480
Tb12 0.1851 0.9686 0.2696
Er1 0.2500 0.0994 0.9006
Er2 0.7500 0.9006 0.0994